Entry 1:
VASP calculation (PBE) on an optimized crystal structure of TlZnI2Br.

The total energy comes out at -0.08159 hartree per atom. The density of states at the Fermi level is 1.24 states/eV/f.u. Its space group is P4/mmm, No. 123.

Cell: 5.733 5.733 5.187 Å, 90.00 90.00 90.00°
Fractional coordinates of all 5 atoms:
I 0.000 0.500 0.000
I 0.500 0.000 0.000
Tl 0.500 0.500 0.500
Zn 0.000 0.000 0.000
Br 0.000 0.000 0.500

---

Entry 2:
VASP calculation (PBE) on an optimized crystal structure of ZrTl2IBr5.

The total energy comes out at -0.13550 hartree per atom. The density of states at the Fermi level is 0.00 states/eV/f.u. Its space group is I4mm, No. 107.

Cell: 8.063 8.063 8.063 Å, 83.75 123.67 123.67°
Fractional coordinates of all 9 atoms:
Zr 0.000 0.020 0.020
Tl 0.500 0.193 0.693
Tl 0.500 0.693 0.193
I 0.000 0.777 0.777
Br 0.492 0.265 0.265
Br 0.508 0.773 0.773
Br 0.000 0.773 0.265
Br 0.000 0.265 0.773
Br 0.000 0.240 0.240

---

Entry 3:
VASP calculation (PBE) on an optimized crystal structure of TmIBr.

The total energy comes out at -0.13866 hartree per atom. The density of states at the Fermi level is 1.62 states/eV/f.u. The excess energy over the best structure of this formula in the dataset comes out at 116 meV/atom. Its space group is I4mm, No. 107.

Cell: 3.623 3.623 7.996 Å, 103.09 103.09 90.00°
Fractional coordinates of all 3 atoms:
I 0.049 0.049 0.097
Tm 0.671 0.671 0.342
Br 0.281 0.281 0.561

---

Entry 4:
VASP calculation (PBE) on an optimized crystal structure of TmIBr.

The total energy comes out at -0.13705 hartree per atom. The density of states at the Fermi level is 1.30 states/eV/f.u. The excess energy over the best structure of this formula in the dataset comes out at 160 meV/atom. Its space group is Imma, No. 74.

Cell: 5.922 6.966 6.313 Å, 116.96 90.00 115.16°
Fractional coordinates of all 6 atoms:
Tm 0.841 0.683 0.459
Tm 0.341 0.683 0.084
I 0.341 0.682 0.561
I 0.842 0.683 0.982
Br 0.591 0.183 0.272
Br 0.091 0.183 0.771

---

no.,total magnetic moment (μB/f.u.)
1,0.00
2,0.00
3,0.00
4,0.00